First-principles (PBE) data for a relaxed TaAg2BiPb crystal, as listed in the Alexandria database.

Properties
Total magnetic moment   2.9 μB/f.u.
Energy of formation   1.575 eV per atom
E   -3.454 eV/atom

Unit cell a=5.130 b=6.095 c=5.130 alpha=90.00 beta=90.00 gamma=90.00
Element x y z (fractional)
Pb 0.000 0.000 0.000
Bi 0.000 0.500 0.000
Ag 0.000 0.000 0.500
Ag 0.500 0.000 0.000
Ta 0.500 0.500 0.500

***

First-principles (PBE) data for a relaxed HgSb2TePd crystal, as listed in the Alexandria database.

Properties
Total magnetic moment   0.0 μB/f.u.
Excess energy over the best structure of this formula in the dataset   0.000 eV/atom
E   -3.058 eV/atom
Formation energy without anion corrections   0.318 eV/atom

Unit cell a=5.246 b=5.246 c=5.446 alpha=90.00 beta=90.00 gamma=90.00
Element x y z (fractional)
Sb 0.000 0.500 0.000
Sb 0.500 0.000 0.000
Te 0.000 0.000 0.500
Hg 0.500 0.500 0.500
Pd 0.000 0.000 0.000

***

First-principles (PBE) data for a relaxed Sm8YSc4 crystal, as listed in the Alexandria database.

Properties
Total magnetic moment   0.0 μB/f.u.
Energy of formation   0.249 eV per atom
E   -5.101 eV/atom

Unit cell a=7.003 b=7.003 c=10.359 alpha=90.00 beta=109.76 gamma=120.00
Element x y z (fractional)
Sm 0.577 0.789 0.366
Sm 0.423 0.211 0.634
Sm 0.494 0.247 0.276
Sm 0.971 0.217 0.724
Sm 0.506 0.753 0.724
Sm 0.971 0.753 0.724
Sm 0.029 0.247 0.276
Sm 0.029 0.783 0.276
Y 0.000 0.500 0.500
Sc 0.000 0.000 0.000
Sc 0.000 0.500 0.000
Sc 0.500 0.500 0.000
Sc 0.500 0.000 0.000

***

Please write out number 3 again, unchanged.
First-principles (PBE) data for a relaxed Sm8YSc4 crystal, as listed in the Alexandria database.

Properties
Total magnetic moment   0.0 μB/f.u.
Energy of formation   0.249 eV per atom
E   -5.101 eV/atom

Unit cell a=7.003 b=7.003 c=10.359 alpha=90.00 beta=109.76 gamma=120.00
Element x y z (fractional)
Sm 0.577 0.789 0.366
Sm 0.423 0.211 0.634
Sm 0.494 0.247 0.276
Sm 0.971 0.217 0.724
Sm 0.506 0.753 0.724
Sm 0.971 0.753 0.724
Sm 0.029 0.247 0.276
Sm 0.029 0.783 0.276
Y 0.000 0.500 0.500
Sc 0.000 0.000 0.000
Sc 0.000 0.500 0.000
Sc 0.500 0.500 0.000
Sc 0.500 0.000 0.000